No. 1
First-principles (PBE with a Hubbard U) data for a geometry-optimized LiMn4O8 structure, as listed in the Alexandria database.

## Properties
**Size of the total moment**: 13.00 μB/cell
**Calculated total energy**: -90.553 eV/cell
**Excess energy over the best structure of this formula in the dataset**: 0.021 eV per atom

Structure (CIF):
```
data_LiMn4O8
_space_group_name_H-M_alt 'P 1'
_space_group_IT_number 1
_cell_length_a 6.0653
_cell_length_b 6.0653
_cell_length_c 6.0653
_cell_angle_alpha 58.23
_cell_angle_beta 58.23
_cell_angle_gamma 58.23
loop_
_space_group_symop_operation_xyz
'x,y,z'
loop_
_atom_site_label
_atom_site_fract_x
_atom_site_fract_y
_atom_site_fract_z
_atom_site_occupancy
Li1 0.5000 0.5000 0.5000 1
Mn1 0.5000 0.5000 0.0000 1
Mn2 0.5000 0.0000 0.5000 1
Mn3 0.0000 0.5000 0.5000 1
Mn4 0.0000 0.0000 0.0000 1
O1 0.2861 0.7574 0.7574 1
O2 0.2426 0.7139 0.2426 1
O3 0.2682 0.2682 0.2682 1
O4 0.7574 0.7574 0.2861 1
O5 0.2426 0.2426 0.7139 1
O6 0.7318 0.7318 0.7318 1
O7 0.7574 0.2861 0.7574 1
O8 0.7139 0.2426 0.2426 1
```

No. 2
First-principles (PBE with a Hubbard U) data for a geometry-optimized LiMnO2 structure, as listed in the Alexandria database.

## Properties
**Size of the total moment**: 8.00 μB/cell
**Calculated total energy**: -52.939 eV/cell

Structure (CIF):
```
data_LiMnO2
_space_group_name_H-M_alt 'P 1'
_space_group_IT_number 1
_cell_length_a 2.8688
_cell_length_b 4.6345
_cell_length_c 5.8325
_cell_angle_alpha 90.00
_cell_angle_beta 90.00
_cell_angle_gamma 90.00
loop_
_space_group_symop_operation_xyz
'x,y,z'
loop_
_atom_site_label
_atom_site_fract_x
_atom_site_fract_y
_atom_site_fract_z
_atom_site_occupancy
Mn1 0.7500 0.7500 0.3633 1
Mn2 0.2500 0.2500 0.6367 1
O1 0.7500 0.2500 0.8608 1
O2 0.2500 0.7500 0.5985 1
O3 0.7500 0.2500 0.4015 1
O4 0.2500 0.7500 0.1392 1
Li1 0.7500 0.7500 0.8798 1
Li2 0.2500 0.2500 0.1202 1
```

No. 3
First-principles (PBE with a Hubbard U) data for a geometry-optimized Li5MnO4 structure, as listed in the Alexandria database.

## Properties
**Size of the total moment**: 8.00 μB/cell
**Calculated total energy**: -109.275 eV/cell
**Excess energy over the best structure of this formula in the dataset**: 0.000 eV per atom

Structure (CIF):
```
data_Li5MnO4
_space_group_name_H-M_alt 'P 1'
_space_group_IT_number 1
_cell_length_a 6.6296
_cell_length_b 6.6296
_cell_length_c 4.6172
_cell_angle_alpha 90.00
_cell_angle_beta 90.00
_cell_angle_gamma 87.03
loop_
_space_group_symop_operation_xyz
'x,y,z'
loop_
_atom_site_label
_atom_site_fract_x
_atom_site_fract_y
_atom_site_fract_z
_atom_site_occupancy
Li1 0.0380 0.9559 0.7783 1
Li2 0.2199 0.2763 0.6773 1
Li3 0.2763 0.2199 0.1773 1
Li4 0.4559 0.5380 0.7217 1
Li5 0.4799 0.9799 0.7500 1
Li6 0.5380 0.4559 0.2217 1
Li7 0.7199 0.7763 0.3227 1
Li8 0.7763 0.7199 0.8227 1
Li9 0.9559 0.0380 0.2783 1
Li10 0.9799 0.4799 0.2500 1
Mn1 0.2539 0.7539 0.2500 1
Mn2 0.7539 0.2539 0.7500 1
O1 0.0064 0.2367 0.9638 1
O2 0.2367 0.0064 0.4638 1
O3 0.2666 0.4824 0.3928 1
O4 0.4824 0.2666 0.8928 1
O5 0.5064 0.7367 0.0362 1
O6 0.7666 0.9824 0.6072 1
O7 0.7367 0.5064 0.5362 1
O8 0.9824 0.7666 0.1072 1
```

No. 4
First-principles (PBE with a Hubbard U) data for a geometry-optimized LiMnO2 structure, as listed in the Alexandria database.

## Properties
**Size of the total moment**: 32.00 μB/cell
**Calculated total energy**: -210.927 eV/cell

Structure (CIF):
```
data_LiMnO2
_space_group_name_H-M_alt 'P 1'
_space_group_IT_number 1
_cell_length_a 5.9619
_cell_length_b 5.9584
_cell_length_c 10.3885
_cell_angle_alpha 89.13
_cell_angle_beta 71.85
_cell_angle_gamma 60.38
loop_
_space_group_symop_operation_xyz
'x,y,z'
loop_
_atom_site_label
_atom_site_fract_x
_atom_site_fract_y
_atom_site_fract_z
_atom_site_occupancy
Li1 0.5000 0.5000 0.5000 1
Li2 0.5000 0.0000 0.0000 1
Li3 0.9941 0.7496 0.2485 1
Li4 0.0059 0.2504 0.7515 1
Li5 0.5143 0.7608 0.7659 1
Li6 0.4857 0.2391 0.2341 1
Li7 0.0107 0.7634 0.7499 1
Li8 0.9894 0.2367 0.2500 1
Mn1 0.5007 0.7388 0.2495 1
Mn2 0.4993 0.2612 0.7505 1
Mn3 0.0000 0.5000 0.0000 1
Mn4 0.0000 0.0000 0.5000 1
Mn5 0.5000 0.5000 0.0000 1
Mn6 0.5000 0.0000 0.5000 1
Mn7 0.0000 0.5000 0.5000 1
Mn8 0.0000 0.0000 0.0000 1
O1 0.7549 0.6081 0.8925 1
O2 0.7571 0.1053 0.3950 1
O3 0.2429 0.8947 0.6050 1
O4 0.2451 0.3919 0.1075 1
O5 0.2604 0.6300 0.8608 1
O6 0.2335 0.1090 0.3702 1
O7 0.7665 0.8910 0.6298 1
O8 0.7396 0.3700 0.1392 1
O9 0.7476 0.6413 0.3919 1
O10 0.7531 0.1398 0.8891 1
O11 0.2292 0.6509 0.3854 1
O12 0.2483 0.1455 0.8769 1
O13 0.2469 0.8602 0.1109 1
O14 0.2524 0.3587 0.6081 1
O15 0.7517 0.8545 0.1231 1
O16 0.7707 0.3492 0.6146 1
```